# KCdCuTe2 | Alexandria | PBE | optimized geometry
data_KCdCuTe2
_chemical_formula_sum 'K1 Cd1 Cu1 Te2'
_symmetry_space_group_name_H-M 'P 4/m m m'
_symmetry_Int_Tables_number 123
_symmetry_space_group_name_Hall '-P 4 2'
_cell_length_a 5.163
_cell_length_b 5.163
_cell_length_c 6.259
_cell_angle_alpha 90.00
_cell_angle_beta 90.00
_cell_angle_gamma 90.00
loop_
_atom_site_label
_atom_site_type_symbol
_atom_site_fract_x
_atom_site_fract_y
_atom_site_fract_z
K1 K 0.000 0.000 0.000
Cd1 Cd 0.500 0.500 0.000
Cu1 Cu 0.000 0.000 0.500
Te1 Te 0.000 0.500 0.500
# **Energy above the lowest structure with this stoichiometry**: 43.21 kJ/mol of atoms
# **D(E_F)**: 2.56 states/eV/f.u.
# **Calculated total energy**: -2.517 eV per atom
# **Uncorrected formation energy**: -39 meV/atom

# LaCeSm2 | Alexandria | PBE | optimized geometry
data_LaCeSm2
_chemical_formula_sum 'La3 Ce3 Sm6'
_symmetry_space_group_name_H-M 'R -3 m'
_symmetry_Int_Tables_number 166
_symmetry_space_group_name_Hall '-R 3 2"'
_cell_length_a 3.4929
_cell_length_b 3.4929
_cell_length_c 37.8623
_cell_angle_alpha 90.00
_cell_angle_beta 90.00
_cell_angle_gamma 120.00
loop_
_atom_site_label
_atom_site_type_symbol
_atom_site_fract_x
_atom_site_fract_y
_atom_site_fract_z
La1 La 0.0000 0.0000 0.0000
Ce1 Ce 0.0000 0.0000 0.5000
Sm1 Sm 0.0000 0.0000 0.4128
# **Energy above the lowest structure with this stoichiometry**: 13.54 kJ/mol of atoms
# **D(E_F)**: 8.35 states/eV/f.u.
# **DFT formation energy**: 0.20 eV per atom
# **Calculated total energy**: -4.872 eV per atom

# SrSb2P6 | Alexandria | PBE | optimized geometry
data_SrSb2P6
_chemical_formula_sum 'Sr1 Sb2 P6'
_symmetry_space_group_name_H-M 'P 6/m m m'
_symmetry_Int_Tables_number 191
_symmetry_space_group_name_Hall '-P 6 2'
_cell_length_a 5.4668
_cell_length_b 5.4668
_cell_length_c 8.7877
_cell_angle_alpha 90.00
_cell_angle_beta 90.00
_cell_angle_gamma 120.00
loop_
_atom_site_label
_atom_site_type_symbol
_atom_site_fract_x
_atom_site_fract_y
_atom_site_fract_z
Sr1 Sr 0.0000 0.0000 0.0000
Sb1 Sb 0.3333 0.6667 0.5000
P1 P 0.0000 0.5000 0.1270
# **D(E_F)**: 2.16 states/eV/f.u.
# **Calculated total energy**: -4.537 eV per atom
# **Uncorrected formation energy**: 173 meV/atom

# TmZn4Au | Alexandria | PBE | optimized geometry
data_TmZn4Au
_chemical_formula_sum 'Tm4 Zn16 Au4'
_symmetry_space_group_name_H-M 'F -4 3 m'
_symmetry_Int_Tables_number 216
_symmetry_space_group_name_Hall 'F -4 2 3'
_cell_length_a 7.445
_cell_length_b 7.445
_cell_length_c 7.445
_cell_angle_alpha 90.00
_cell_angle_beta 90.00
_cell_angle_gamma 90.00
loop_
_atom_site_label
_atom_site_type_symbol
_atom_site_fract_x
_atom_site_fract_y
_atom_site_fract_z
Tm1 Tm 0.000 0.000 0.000
Zn1 Zn 0.125 0.125 0.375
Au1 Au 0.250 0.250 0.750
# **Energy above the lowest structure with this stoichiometry**: 7.70 kJ/mol of atoms
# **D(E_F)**: 3.17 states/eV/f.u.
# **DFT formation energy**: -0.23 eV per atom
# **Calculated total energy**: -2.371 eV per atom

# PaInFe | Alexandria | PBE | optimized geometry
data_PaInFe
_chemical_formula_sum 'Pa2 In2 Fe2'
_symmetry_space_group_name_H-M 'P -1'
_symmetry_Int_Tables_number 2
_cell_length_a 3.823
_cell_length_b 5.427
_cell_length_c 6.307
_cell_angle_alpha 98.51
_cell_angle_beta 103.83
_cell_angle_gamma 91.86
loop_
_symmetry_equiv_pos_as_xyz
'x,y,z'
'-x,-y,-z'
loop_
_atom_site_label
_atom_site_type_symbol
_atom_site_fract_x
_atom_site_fract_y
_atom_site_fract_z
Pa1 Pa 0.126 0.300 0.301
In1 In 0.427 0.223 0.843
Fe1 Fe 0.206 0.818 0.479
# **D(E_F)**: 2.53 states/eV/f.u.
# **DFT formation energy**: -0.15 eV per atom
# **Calculated total energy**: -7.052 eV per atom

# Li2InBr | Alexandria | PBE | optimized geometry
data_Li2InBr
_chemical_formula_sum 'Li2 In1 Br1'
_symmetry_space_group_name_H-M 'P 4/m m m'
_symmetry_Int_Tables_number 123
_symmetry_space_group_name_Hall '-P 4 2'
_cell_length_a 5.040
_cell_length_b 5.040
_cell_length_c 3.492
_cell_angle_alpha 90.00
_cell_angle_beta 90.00
_cell_angle_gamma 90.00
loop_
_atom_site_label
_atom_site_type_symbol
_atom_site_fract_x
_atom_site_fract_y
_atom_site_fract_z
Li1 Li 0.000 0.500 0.000
In1 In 0.000 0.000 0.500
Br1 Br 0.500 0.500 0.500
# **Energy above the lowest structure with this stoichiometry**: 23.56 kJ/mol of atoms
# **D(E_F)**: 1.50 states/eV/f.u.
# **Calculated total energy**: -2.540 eV per atom
# **Uncorrected formation energy**: -480 meV/atom